[1]
Be2BAs: relaxed, PBE.

The crystal system is cubic. As for the formation energy: 3.96 eV per formula unit. The electronic total energy comes out at -59.27 eV per cell. Its calculated volume is 176.0 Å³/cell.

The structure belongs to space group Fm-3m (No. 225); the cell edges are 5.605, 5.605 and 5.605 Å and the angles 90.00°, 90.00° and 90.00°. The inequivalent atoms are Be at (0.250, 0.250, 0.250), B at (0.000, 0.000, 0.000) and As at (0.000, 0.000, 0.500).

***

[2]
BeBAsBr2: relaxed, PBE.

The crystal system is tetragonal. The electronic total energy comes out at -13.30 eV per cell. As for the energy relative to the lowest polymorph listed for this composition: 0 meV per atom. Its calculated volume is 105.9 Å³/cell.

The structure belongs to space group P4/mmm (No. 123); the cell edges are 4.825, 4.825 and 4.550 Å and the angles 90.00°, 90.00° and 90.00°. The inequivalent atoms are Be at (0.000, 0.000, 0.000), B at (0.500, 0.500, 0.500), As at (0.000, 0.000, 0.500) and Br at (0.000, 0.500, 0.000).

***

[3]
Be2BAsCl: relaxed, PBE.

The crystal system is tetragonal. The electronic total energy comes out at -13.33 eV per cell. Its calculated volume is 70.6 Å³/cell.

The structure belongs to space group P4/mmm (No. 123); the cell edges are 4.156, 4.156 and 4.085 Å and the angles 90.00°, 90.00° and 90.00°. The inequivalent atoms are Be at (0.000, 0.500, 0.000), B at (0.000, 0.000, 0.500), As at (0.500, 0.500, 0.500) and Cl at (0.000, 0.000, 0.000).

***

calculated volume of number 2 (BeBAsBr2)?
105.9 Å³/cell

***

Repeat the second record exactly.
BeBAsBr2: relaxed, PBE.

The crystal system is tetragonal. The electronic total energy comes out at -13.30 eV per cell. As for the energy relative to the lowest polymorph listed for this composition: 0 meV per atom. Its calculated volume is 105.9 Å³/cell.

The structure belongs to space group P4/mmm (No. 123); the cell edges are 4.825, 4.825 and 4.550 Å and the angles 90.00°, 90.00° and 90.00°. The inequivalent atoms are Be at (0.000, 0.000, 0.000), B at (0.500, 0.500, 0.500), As at (0.000, 0.000, 0.500) and Br at (0.000, 0.500, 0.000).

***

Copy entry 1 word for word.
Be2BAs: relaxed, PBE.

The crystal system is cubic. As for the formation energy: 3.96 eV per formula unit. The electronic total energy comes out at -59.27 eV per cell. Its calculated volume is 176.0 Å³/cell.

The structure belongs to space group Fm-3m (No. 225); the cell edges are 5.605, 5.605 and 5.605 Å and the angles 90.00°, 90.00° and 90.00°. The inequivalent atoms are Be at (0.250, 0.250, 0.250), B at (0.000, 0.000, 0.000) and As at (0.000, 0.000, 0.500).